Density functional theory data (PBE) for a geometry-optimized VCd4N4 structure.

Results
The value obtained for the energy is -89.56 eV for the cell shown. The space group is C2/m, No. 12. For the calculated volume, the calculation gives 15.24 Å³/atom. The value obtained for the uncorrected formation energy is 0.14 eV/atom.

Cell and atoms, written as POSCAR:
```
VCd4N4
1.0
-2.786 2.274 -4.585
-3.302 -4.129 -2.445
-8.240 -1.429 4.441
N V Cd
8 2 8
direct
0.896 0.799 0.655 N
0.104 0.201 0.345 N
0.819 0.864 0.955 N
0.181 0.136 0.045 N
0.482 0.668 0.814 N
0.518 0.332 0.186 N
0.546 0.759 0.345 N
0.454 0.241 0.655 N
0.667 0.892 0.775 V
0.333 0.108 0.225 V
0.784 0.589 0.195 Cd
0.216 0.411 0.805 Cd
0.759 0.242 0.000 Cd
0.241 0.758 0.000 Cd
0.683 0.517 0.618 Cd
0.317 0.483 0.382 Cd
0.136 0.064 0.618 Cd
0.864 0.936 0.382 Cd
```

Density functional theory data (PBE) for a geometry-optimized VCdN2 structure.

Results
The value obtained for the energy is -27.25 eV for the cell shown. The space group is R-3m, No. 166. For the calculated volume, the calculation gives 12.33 Å³/atom. The value obtained for the uncorrected formation energy is -0.14 eV/atom.

Cell and atoms, written as POSCAR:
```
VCdN2
1.0
1.695 0.000 6.613
-0.847 1.467 6.613
-0.847 -1.467 6.613
Cd V N
1 1 2
direct
0.000 0.000 0.000 Cd
0.500 0.500 0.500 V
0.887 0.887 0.887 N
0.113 0.113 0.113 N
```